First-principles (PBE) data for crystalline NdSmThCd at its relaxed geometry, as listed in the Alexandria database.

a = 3.656 Å, b = 3.656 Å, c = 9.097 Å
α = 90.00°, β = 90.00°, γ = 90.00°
Sites, in units of the cell vectors:
Nd 0.000 0.000 0.087
Cd 0.500 0.500 0.325
Th 0.500 0.500 0.819
Sm 0.000 0.000 0.555

**Energy of formation from the pure elements**: -0.16 eV/atom
**SG**: P4mm (99)
**Density of states at the Fermi level**: 3.5 states/eV/cell
**Total moment**: 0.00 μB per cell